# GGA-PBE CrOs2Au, optimized geometry
data_CrOs2Au
_space_group_name_H-M_alt 'F -4 3 m'
_space_group_IT_number 216
_space_group_name_Hall 'F -4 2 3'
_cell_length_a 6.248
_cell_length_b 6.248
_cell_length_c 6.248
_cell_angle_alpha 90.00
_cell_angle_beta 90.00
_cell_angle_gamma 90.00
loop_
_atom_site_label
_atom_site_fract_x
_atom_site_fract_y
_atom_site_fract_z
Cr1 0.000 0.000 0.000
Os1 0.000 0.000 0.500
Os2 0.250 0.250 0.250
Au1 0.250 0.250 0.750
# * energy above the most stable polymorph in this dataset: 450.2 meV per atom
# * total magnetic moment: 0.7765 μB per atom
# * volume: 61 Å³/f.u.

=====

# GGA-PBE Os2RuBr, optimized geometry
data_Os2RuBr
_space_group_name_H-M_alt 'P 4/m m m'
_space_group_IT_number 123
_space_group_name_Hall '-P 4 2'
_cell_length_a 4.650
_cell_length_b 4.650
_cell_length_c 2.842
_cell_angle_alpha 90.00
_cell_angle_beta 90.00
_cell_angle_gamma 90.00
loop_
_atom_site_label
_atom_site_fract_x
_atom_site_fract_y
_atom_site_fract_z
Os1 0.000 0.500 0.000
Ru1 0.000 0.000 0.500
Br1 0.500 0.500 0.500
# * energy above the most stable polymorph in this dataset: 638.3 meV per atom
# * total magnetic moment: 0.0001 μB per atom
# * volume: 61 Å³/f.u.

=====

# GGA-PBE Rb2HCl3, optimized geometry
data_Rb2HCl3
_space_group_name_H-M_alt 'C 1 2/m 1'
_space_group_IT_number 12
_space_group_name_Hall '-C 2y'
_cell_length_a 8.938
_cell_length_b 12.196
_cell_length_c 8.774
_cell_angle_alpha 90.00
_cell_angle_beta 90.24
_cell_angle_gamma 90.00
loop_
_atom_site_label
_atom_site_fract_x
_atom_site_fract_y
_atom_site_fract_z
Rb1 0.000 0.237 0.000
Rb2 0.000 0.241 0.500
H1 0.090 0.000 0.747
Cl1 0.058 0.000 0.254
Cl2 0.240 0.324 0.250
# * raw total energy: -76.8 eV per cell
# * total magnetic moment: 0.0217 μB per atom
# * volume: 239 Å³/f.u.

=====

# GGA-PBE TcBi2SI, optimized geometry
data_TcBi2SI
_space_group_name_H-M_alt 'P 4/m m m'
_space_group_IT_number 123
_space_group_name_Hall '-P 4 2'
_cell_length_a 5.757
_cell_length_b 5.757
_cell_length_c 4.366
_cell_angle_alpha 90.00
_cell_angle_beta 90.00
_cell_angle_gamma 90.00
loop_
_atom_site_label
_atom_site_fract_x
_atom_site_fract_y
_atom_site_fract_z
Tc1 0.000 0.000 0.000
Bi1 0.000 0.500 0.500
S1 0.000 0.000 0.500
I1 0.500 0.500 0.000
# * raw total energy: -20.7 eV per cell
# * total magnetic moment: 0.2522 μB per atom
# * volume: 145 Å³/f.u.

=====

# GGA-PBE K4P2O7, optimized geometry
data_K4P2O7
_space_group_name_H-M_alt 'P 63/m m c'
_space_group_IT_number 194
_space_group_name_Hall '-P 6c 2c'
_cell_length_a 6.0038
_cell_length_b 6.0038
_cell_length_c 15.0557
_cell_angle_alpha 90.00
_cell_angle_beta 90.00
_cell_angle_gamma 120.00
loop_
_atom_site_label
_atom_site_fract_x
_atom_site_fract_y
_atom_site_fract_z
K1 0.0000 0.0000 0.0000
K2 0.0000 0.0000 0.2500
K3 0.3333 0.6667 0.0814
P1 0.3333 0.6667 0.6424
O1 0.1915 0.3831 0.6141
O2 0.3333 0.6667 0.7500
# * raw total energy: -158.1 eV per cell
# * total magnetic moment: 0.0000 μB per atom
# * volume: 235 Å³/f.u.

=====

# GGA-PBE OsSeNO2, optimized geometry
data_OsSeNO2
_space_group_name_H-M_alt 'P 4/m m m'
_space_group_IT_number 123
_space_group_name_Hall '-P 4 2'
_cell_length_a 3.887
_cell_length_b 3.887
_cell_length_c 3.960
_cell_angle_alpha 90.00
_cell_angle_beta 90.00
_cell_angle_gamma 90.00
loop_
_atom_site_label
_atom_site_fract_x
_atom_site_fract_y
_atom_site_fract_z
Os1 0.000 0.000 0.000
Se1 0.500 0.500 0.500
N1 0.000 0.000 0.500
O1 0.000 0.500 0.000
# * raw total energy: -31.2 eV per cell
# * total magnetic moment: 0.0000 μB per atom
# * volume: 60 Å³/f.u.

=====

# GGA-PBE KSn3Sb, optimized geometry
data_KSn3Sb
_space_group_name_H-M_alt 'P m n 21'
_space_group_IT_number 31
_space_group_name_Hall 'P 2ac -2'
_cell_length_a 7.361
_cell_length_b 9.554
_cell_length_c 4.890
_cell_angle_alpha 90.00
_cell_angle_beta 90.00
_cell_angle_gamma 90.00
loop_
_atom_site_label
_atom_site_fract_x
_atom_site_fract_y
_atom_site_fract_z
K1 0.000 0.067 0.000
Sn1 0.000 0.768 0.514
Sn2 0.241 0.287 0.498
Sb1 0.000 0.500 0.194
# * energy above the most stable polymorph in this dataset: 0.0 meV per atom
# * total magnetic moment: 0.0000 μB per atom
# * volume: 172 Å³/f.u.

=====

# GGA-PBE SmEr2Ga, optimized geometry
data_SmEr2Ga
_space_group_name_H-M_alt 'P 4/m m m'
_space_group_IT_number 123
_space_group_name_Hall '-P 4 2'
_cell_length_a 4.733
_cell_length_b 4.733
_cell_length_c 4.709
_cell_angle_alpha 90.00
_cell_angle_beta 90.00
_cell_angle_gamma 90.00
loop_
_atom_site_label
_atom_site_fract_x
_atom_site_fract_y
_atom_site_fract_z
Sm1 0.000 0.000 0.000
Er1 0.000 0.500 0.500
Ga1 0.500 0.500 0.000
# * energy above the most stable polymorph in this dataset: 54.8 meV per atom
# * total magnetic moment: 0.0001 μB per atom
# * volume: 105 Å³/f.u.

=====

# GGA-PBE Dy2HoBi2, optimized geometry
data_Dy2HoBi2
_space_group_name_H-M_alt 'C 1 2/m 1'
_space_group_IT_number 12
_space_group_name_Hall '-C 2y'
_cell_length_a 17.599
_cell_length_b 4.347
_cell_length_c 8.724
_cell_angle_alpha 90.00
_cell_angle_beta 104.35
_cell_angle_gamma 90.00
loop_
_atom_site_label
_atom_site_fract_x
_atom_site_fract_y
_atom_site_fract_z
Dy1 0.000 0.000 0.250
Dy2 0.180 0.500 0.340
Ho1 0.180 0.500 0.840
Bi1 0.135 0.000 0.067
Bi2 0.135 0.000 0.568
# * raw total energy: -97.6 eV per cell
# * total magnetic moment: 0.0001 μB per atom
# * volume: 162 Å³/f.u.

=====

# GGA-PBE AlNiMo2, optimized geometry
data_AlNiMo2
_space_group_name_H-M_alt 'I 4/m m m'
_space_group_IT_number 139
_space_group_name_Hall '-I 4 2'
_cell_length_a 3.692
_cell_length_b 3.692
_cell_length_c 8.369
_cell_angle_alpha 90.00
_cell_angle_beta 90.00
_cell_angle_gamma 90.00
loop_
_atom_site_label
_atom_site_fract_x
_atom_site_fract_y
_atom_site_fract_z
Al1 0.000 0.000 0.000
Ni1 0.000 0.000 0.500
Mo1 0.000 0.500 0.250
# * raw total energy: -63.9 eV per cell
# * total magnetic moment: 0.0000 μB per atom
# * volume: 57 Å³/f.u.

=====

# GGA-PBE RbTl2PtAu, optimized geometry
data_RbTl2PtAu
_space_group_name_H-M_alt 'P 4/m m m'
_space_group_IT_number 123
_space_group_name_Hall '-P 4 2'
_cell_length_a 5.306
_cell_length_b 5.306
_cell_length_c 5.525
_cell_angle_alpha 90.00
_cell_angle_beta 90.00
_cell_angle_gamma 90.00
loop_
_atom_site_label
_atom_site_fract_x
_atom_site_fract_y
_atom_site_fract_z
Rb1 0.000 0.000 0.000
Tl1 0.000 0.500 0.500
Pt1 0.500 0.500 0.500
Au1 0.500 0.500 0.000
# * energy above the most stable polymorph in this dataset: 0.0 meV per atom
# * total magnetic moment: 0.0000 μB per atom
# * volume: 156 Å³/f.u.

=====

# GGA-PBE DyPuIrPd, optimized geometry
data_DyPuIrPd
_space_group_name_H-M_alt 'P 4 m m'
_space_group_IT_number 99
_space_group_name_Hall 'P 4 -2'
_cell_length_a 3.445
_cell_length_b 3.445
_cell_length_c 7.083
_cell_angle_alpha 90.00
_cell_angle_beta 90.00
_cell_angle_gamma 90.00
loop_
_atom_site_label
_atom_site_fract_x
_atom_site_fract_y
_atom_site_fract_z
Dy1 0.000 0.000 0.000
Pu1 0.000 0.000 0.523
Ir1 0.500 0.500 0.758
Pd1 0.500 0.500 0.244
# * energy above the most stable polymorph in this dataset: 2.4 meV per atom
# * total magnetic moment: 1.2921 μB per atom
# * volume: 84 Å³/f.u.

=====

# GGA-PBE Ca3Ga9Ni2, optimized geometry
data_Ca3Ga9Ni2
_space_group_name_H-M_alt 'I m m m'
_space_group_IT_number 71
_space_group_name_Hall '-I 2 2'
_cell_length_a 4.221
_cell_length_b 9.957
_cell_length_c 12.350
_cell_angle_alpha 90.00
_cell_angle_beta 90.00
_cell_angle_gamma 90.00
loop_
_atom_site_label
_atom_site_fract_x
_atom_site_fract_y
_atom_site_fract_z
Ca1 0.000 0.000 0.000
Ca2 0.000 0.000 0.315
Ga1 0.000 0.283 0.122
Ga2 0.000 0.364 0.336
Ga3 0.000 0.500 0.000
Ni1 0.000 0.224 0.500
# * raw total energy: -102.1 eV per cell
# * total magnetic moment: 0.0000 μB per atom
# * volume: 260 Å³/f.u.